[1]
An optimized crystal structure of HfTi5Sb4. Source: Alexandria via LeMat-Bulk, functional PBE.

The calculation puts the formation energy from raw total energies at -0.200 eV per atom. Its calculated volume is 419 Å³/cell. The crystal system is orthorhombic. Its space group is No. 59.

Unit cell a=8.4846 b=9.8697 c=5.0094 alpha=90.00 beta=90.00 gamma=90.00
Element x y z (fractional)
Hf 0.2500 0.2500 0.0167
Hf 0.7500 0.7500 0.9833
Ti 0.0817 0.5088 0.2569
Ti 0.0817 0.9912 0.2569
Ti 0.2500 0.7500 0.2147
Ti 0.4183 0.5088 0.2569
Ti 0.4183 0.9912 0.2569
Ti 0.5817 0.0088 0.7431
Ti 0.5817 0.4912 0.7431
Ti 0.7500 0.2500 0.7853
Ti 0.9183 0.0088 0.7431
Ti 0.9183 0.4912 0.7431
Sb 0.0556 0.2500 0.5202
Sb 0.2500 0.5562 0.7732
Sb 0.2500 0.9438 0.7732
Sb 0.4444 0.2500 0.5202
Sb 0.5556 0.7500 0.4798
Sb 0.7500 0.0562 0.2268
Sb 0.7500 0.4438 0.2268
Sb 0.9444 0.7500 0.4798



[2]
An optimized crystal structure of Hf5TiSb2. Source: Alexandria via LeMat-Bulk, functional PBE.

The calculation puts the formation energy from raw total energies at 0.072 eV per atom. Its calculated volume is 395 Å³/cell. The crystal system is orthorhombic. Its space group is No. 63.

Unit cell a=6.9829 b=6.9829 c=12.2668 alpha=90.00 beta=90.00 gamma=138.69
Element x y z (fractional)
Hf 0.1059 0.8941 0.6282
Hf 0.1059 0.8941 0.8718
Hf 0.3118 0.6882 0.2500
Hf 0.3156 0.6844 0.5098
Hf 0.3156 0.6844 0.9902
Hf 0.6844 0.3156 0.0098
Hf 0.6844 0.3156 0.4902
Hf 0.6882 0.3118 0.7500
Hf 0.8941 0.1059 0.1282
Hf 0.8941 0.1059 0.3718
Ti 0.3219 0.6781 0.7500
Ti 0.6781 0.3219 0.2500
Sb 0.1140 0.8860 0.1186
Sb 0.1140 0.8860 0.3814
Sb 0.8860 0.1140 0.6186
Sb 0.8860 0.1140 0.8814



Number 1: final energy -67.92 eV/f.u.. Number 2: final energy -65.33 eV/f.u..